Material: CsPdN2
Method: DFT, PBEsol
State: relaxed

```
CsPdN2
1.0
1.6858 0.9733 6.7937
-1.6858 0.9733 6.7937
0.0000 -1.9466 6.7937
Cs Pd N
1 1 2
direct
0.0000 0.0000 0.0000
0.5000 0.5000 0.5000
0.1280 0.1280 0.1280
0.8720 0.8720 0.8720
```

Total energy in eV/f.u.: -20.05
Formation energy (no corrections) in meV per atom: 975
Space group: R-3m

---

Material: Al2TlHg
Method: DFT, PBEsol
State: relaxed

```
Al2TlHg
1.0
-2.1948 2.1948 4.4150
2.1948 -2.1948 4.4150
2.1948 2.1948 -4.4150
Al Tl Hg
2 1 1
direct
0.2500 0.7500 0.5000
0.7500 0.2500 0.5000
0.0000 0.0000 0.0000
0.5000 0.5000 0.0000
```

Total energy in eV/f.u.: -10.46
Formation energy in meV per atom: 230
Space group: I4/mmm

---

Material: TeRuSe2
Method: DFT, PBEsol
State: relaxed

```
TeRuSe2
1.0
2.9824 0.0000 0.0000
0.0000 2.9824 0.0000
0.0000 0.0000 9.5517
Te Ru Se
1 1 2
direct
0.0000 0.0000 0.0000
0.0000 0.0000 0.5000
0.5000 0.5000 0.3374
0.5000 0.5000 0.6626
```

Total energy in eV/f.u.: -21.32
Formation energy (no corrections) in meV per atom: 20
Space group: P4/mmm

---

Material: TcAuS2N
Method: DFT, PBEsol
State: relaxed

```
TcAuS2N
1.0
4.9094 0.0000 0.0000
0.0000 4.9094 0.0000
0.0000 0.0000 3.6979
Tc Au S N
1 1 2 1
direct
0.0000 0.0000 0.0000
0.5000 0.5000 0.5000
0.0000 0.5000 0.5000
0.5000 0.0000 0.5000
0.5000 0.5000 0.0000
```

Total energy in eV/f.u.: -24.72
Formation energy (no corrections) in meV per atom: 1554
Space group: P4/mmm

---

Material: K2NiW
Method: DFT, PBEsol
State: relaxed

```
K2NiW
1.0
2.7750 0.0000 0.0000
0.0000 3.8450 0.0000
-0.5059 0.0000 10.2541
K Ni W
2 1 1
direct
0.0000 0.0000 0.0000
0.4150 0.5000 0.4271
0.9362 0.0000 0.6685
0.4479 0.5000 0.7399
```

Total energy in eV/f.u.: -18.75
Formation energy in meV per atom: 871
Space group: Pm

---

Material: BeTe4Au
Method: DFT, PBEsol
State: relaxed

```
BeTe4Au
1.0
0.0000 4.3390 4.3390
4.3390 0.0000 4.3390
4.3390 4.3390 0.0000
Be Te Au
1 4 1
direct
0.0000 0.0000 0.0000
0.1261 0.6246 0.6246
0.6246 0.1261 0.6246
0.6246 0.6246 0.1261
0.6246 0.6246 0.6246
0.2500 0.2500 0.2500
```

Total energy in eV/f.u.: -16.43
Formation energy (no corrections) in meV per atom: 933
Space group: F-43m

---

Material: RbAlPd3
Method: DFT, PBEsol
State: relaxed

```
RbAlPd3
1.0
4.7169 0.0000 0.0000
0.0000 4.7169 0.0000
0.0000 0.0000 4.7169
Rb Al Pd
1 1 3
direct
0.0000 0.0000 0.0000
0.5000 0.5000 0.5000
0.0000 0.5000 0.5000
0.5000 0.0000 0.5000
0.5000 0.5000 0.0000
```

Total energy in eV/f.u.: -22.61
Formation energy in meV per atom: 76
Space group: Pm-3m

---

Material: MgScAu4
Method: DFT, PBEsol
State: relaxed

```
MgScAu4
1.0
0.0000 3.8311 3.8311
3.8311 0.0000 3.8311
3.8311 3.8311 0.0000
Mg Sc Au
1 1 4
direct
0.0000 0.0000 0.0000
0.2500 0.2500 0.2500
0.1247 0.6251 0.6251
0.6251 0.1247 0.6251
0.6251 0.6251 0.1247
0.6251 0.6251 0.6251
```

Total energy in eV/f.u.: -26.50
Formation energy in meV per atom: -413
Space group: F-43m

---

Material: NaFeP2O
Method: DFT, PBEsol
State: relaxed

```
NaFeP2O
1.0
4.7217 0.0000 0.0000
0.0000 4.7217 0.0000
0.0000 0.0000 3.3590
Na Fe P O
1 1 2 1
direct
0.0000 0.0000 0.0000
0.5000 0.5000 0.5000
0.0000 0.5000 0.5000
0.5000 0.0000 0.5000
0.5000 0.5000 0.0000
```

Total energy in eV/f.u.: -27.75
Formation energy (no corrections) in meV per atom: -111
Space group: P4/mmm
ΔE to the lowest computed polymorph in meV per atom: 0

---

Material: NaNd3Ti2Sb2O14
Method: DFT, PBEsol
State: relaxed

```
NaNd3Ti2Sb2O14
1.0
6.2766 -3.6986 0.0000
6.2766 3.6986 0.0000
-4.1038 0.0000 5.9768
Na Nd Ti Sb O
1 3 2 2 14
direct
0.0000 0.0000 0.0000
0.0000 0.0000 0.5000
0.0000 0.5000 0.0000
0.5000 0.0000 0.0000
0.5000 0.5000 0.0000
0.5000 0.5000 0.5000
0.0000 0.5000 0.5000
0.5000 0.0000 0.5000
0.1273 0.1273 0.8752
0.1730 0.1730 0.4267
0.1770 0.5766 0.4241
0.1810 0.5605 0.8208
0.4234 0.8230 0.5759
0.4303 0.4303 0.1831
0.4395 0.8190 0.1792
0.5605 0.1810 0.8208
0.5697 0.5697 0.8169
0.5766 0.1770 0.4241
0.8190 0.4395 0.1792
0.8230 0.4234 0.5759
0.8270 0.8270 0.5733
0.8727 0.8727 0.1248
```

Total energy in eV/f.u.: -175.29
Formation energy (no corrections) in meV per atom: -2688
Space group: C2/m
ΔE to the lowest computed polymorph in meV per atom: 3

---

Material: La2SiHg
Method: DFT, PBEsol
State: relaxed

```
La2SiHg
1.0
-2.2274 2.2274 5.0893
2.2274 -2.2274 5.0893
2.2274 2.2274 -5.0893
La Si Hg
2 1 1
direct
0.0000 0.0000 0.0000
0.7500 0.2500 0.5000
0.5000 0.5000 0.0000
0.2500 0.7500 0.5000
```

Total energy in eV/f.u.: -18.92
Formation energy (no corrections) in meV per atom: -477
Space group: I-4m2

---

Material: Nd5Sn3
Method: DFT, PBEsol
State: relaxed

```
Nd5Sn3
1.0
9.1837 0.0000 0.0000
-4.5919 7.9533 0.0000
0.0000 0.0000 6.7030
Nd Sn
10 6
direct
0.0000 0.2424 0.2500
0.0000 0.7576 0.7500
0.2424 0.0000 0.2500
0.2424 0.2424 0.7500
0.3333 0.6667 0.0000
0.3333 0.6667 0.5000
0.6667 0.3333 0.0000
0.6667 0.3333 0.5000
0.7576 0.0000 0.7500
0.7576 0.7576 0.2500
0.0000 0.3939 0.7500
0.0000 0.6061 0.2500
0.3939 0.0000 0.7500
0.3939 0.3939 0.2500
0.6061 0.0000 0.2500
0.6061 0.6061 0.7500
```

Total energy in eV/f.u.: -44.32
Formation energy in meV per atom: -713
Space group: P6_3/mcm

---

Material: BiPdSe
Method: DFT, PBEsol
State: relaxed

```
BiPdSe
1.0
6.4194 0.0000 0.0000
0.0000 6.4194 0.0000
0.0000 0.0000 6.4194
Bi Pd Se
4 4 4
direct
0.1178 0.1178 0.1178
0.3822 0.8822 0.6178
0.6178 0.3822 0.8822
0.8822 0.6178 0.3822
0.2355 0.2645 0.7355
0.2645 0.7355 0.2355
0.7355 0.2355 0.2645
0.7645 0.7645 0.7645
0.1310 0.6310 0.8690
0.3690 0.3690 0.3690
0.6310 0.8690 0.1310
0.8690 0.1310 0.6310
```

Total energy in eV/f.u.: -15.31
Formation energy (no corrections) in meV per atom: -406
Space group: P2_13

---

Material: TlCu3C
Method: DFT, PBEsol
State: relaxed

```
TlCu3C
1.0
4.7663 0.0000 0.0000
0.0000 4.7663 0.0000
0.0000 0.0000 4.7663
Tl Cu C
1 3 1
direct
0.0000 0.0000 0.0000
0.0000 0.0000 0.5000
0.0000 0.5000 0.0000
0.5000 0.0000 0.0000
0.5000 0.5000 0.5000
```

Total energy in eV/f.u.: -13.13
Formation energy in meV per atom: 2429
Space group: Pm-3m

---

Material: Ba4CaCl
Method: DFT, PBEsol
State: relaxed

```
Ba4CaCl
1.0
0.0000 5.4138 5.4138
5.4138 0.0000 5.4138
5.4138 5.4138 0.0000
Ba Ca Cl
4 1 1
direct
0.1248 0.1248 0.1248
0.1248 0.1248 0.6255
0.1248 0.6255 0.1248
0.6255 0.1248 0.1248
0.5000 0.5000 0.5000
0.7500 0.7500 0.7500
```

Total energy in eV/f.u.: -12.29
Formation energy (no corrections) in meV per atom: 75
Space group: F-43m

---

Material: Li2TaCo
Method: DFT, PBEsol
State: relaxed

```
Li2TaCo
1.0
2.4637 -4.8973 0.0000
2.4637 4.8973 0.0000
-1.4290 0.0000 2.3288
Li Ta Co
2 1 1
direct
0.0000 0.5000 0.0000
0.5000 0.0000 0.0000
0.0000 0.0000 0.5000
0.5000 0.5000 0.5000
```

Total energy in eV/f.u.: -22.99
Formation energy in meV per atom: 309
Space group: C2/m
ΔE to the lowest computed polymorph in meV per atom: 123

---

Material: Zn3Rh2
Method: DFT, PBEsol
State: relaxed

```
Zn3Rh2
1.0
1.3764 0.7947 10.3241
-1.3764 0.7947 10.3241
0.0000 -1.5893 10.3241
Zn Rh
3 2
direct
0.0000 0.0000 0.0000
0.2017 0.2017 0.2017
0.7983 0.7983 0.7983
0.3991 0.3991 0.3991
0.6009 0.6009 0.6009
```

Total energy in eV/f.u.: -22.04
Formation energy in meV per atom: -204
Space group: R-3m

---

Material: BaCuSF
Method: DFT, PBEsol
State: relaxed

```
BaCuSF
1.0
4.0451 0.0000 0.0000
0.0000 4.0451 0.0000
0.0000 0.0000 8.9877
Ba Cu S F
2 2 2 2
direct
0.2500 0.2500 0.1815
0.7500 0.7500 0.8185
0.2500 0.7500 0.5000
0.7500 0.2500 0.5000
0.2500 0.2500 0.6426
0.7500 0.7500 0.3574
0.2500 0.7500 0.0000
0.7500 0.2500 0.0000
```

Total energy in eV/f.u.: -21.06
Formation energy (no corrections) in meV per atom: -2065
Space group: P4/nmm

---

Material: RbSnSeBr2
Method: DFT, PBEsol
State: relaxed

```
RbSnSeBr2
1.0
5.6617 0.0000 0.0000
0.0000 5.6617 0.0000
0.0000 0.0000 5.2283
Rb Sn Se Br
1 1 1 2
direct
0.0000 0.0000 0.0000
0.5000 0.5000 0.5000
0.5000 0.5000 0.0000
0.0000 0.5000 0.5000
0.5000 0.0000 0.5000
```

Total energy in eV/f.u.: -17.24
Formation energy (no corrections) in meV per atom: -872
Space group: P4/mmm
ΔE to the lowest computed polymorph in meV per atom: 0

---

Material: Tl2Pd2Pb
Method: DFT, PBEsol
State: relaxed

```
Tl2Pd2Pb
1.0
-1.9027 1.9027 8.0368
1.9027 -1.9027 8.0368
1.9027 1.9027 -8.0368
Tl Pd Pb
2 2 1
direct
0.1241 0.1241 0.0000
0.8759 0.8759 0.0000
0.2500 0.7500 0.5000
0.7500 0.2500 0.5000
0.5000 0.5000 0.0000
```

Total energy in eV/f.u.: -20.94
Formation energy in meV per atom: 47
Space group: I4/mmm

---

Number 1: N(E_F) 0.4577 states/eV per atom. Number 2: N(E_F) 0.4961 states/eV per atom. Number 3: N(E_F) 0.7340 states/eV per atom. Number 4: N(E_F) 0.8859 states/eV per atom. Number 5: N(E_F) 0.9700 states/eV per atom. Number 6: N(E_F) 0.5335 states/eV per atom. Number 7: N(E_F) 0.2796 states/eV per atom. Number 8: N(E_F) 0.6515 states/eV per atom. Number 9: N(E_F) 0.5812 states/eV per atom. Number 10: N(E_F) 0.0000 states/eV per atom. Number 11: N(E_F) 0.7240 states/eV per atom. Number 12: N(E_F) 1.0843 states/eV per atom. Number 13: N(E_F) 0.4376 states/eV per atom. Number 14: N(E_F) 0.5419 states/eV per atom. Number 15: N(E_F) 1.8102 states/eV per atom. Number 16: N(E_F) 0.6779 states/eV per atom. Number 17: N(E_F) 0.4167 states/eV per atom. Number 18: N(E_F) 0.0000 states/eV per atom. Number 19: N(E_F) 0.3139 states/eV per atom. Number 20: N(E_F) 0.6157 states/eV per atom.